Entry 1:
Density functional theory data (PBE) for a geometry-optimized AcLaGdDy structure.

The structure belongs to space group F-43m (No. 216); the cell edges are 8.360, 8.360 and 8.360 Å and the angles 90.00°, 90.00° and 90.00°. The asymmetric unit holds Ac at (0.000, 0.000, 0.000), La at (0.000, 0.000, 0.500), Gd at (0.250, 0.250, 0.750) and Dy at (0.250, 0.250, 0.250).

The calculated formation energy comes out at 0.4 eV/f.u. For the size of the total moment, the calculation gives 31.09 Bohr magnetons per cell. For the density of states at the Fermi level, the calculation gives 1.948 states/eV/atom.


Entry 2:
Density functional theory data (PBE) for a geometry-optimized AcGdDyLu structure.

The structure belongs to space group F-43m (No. 216); the cell edges are 8.208, 8.208 and 8.208 Å and the angles 90.00°, 90.00° and 90.00°. The asymmetric unit holds Ac at (0.000, 0.000, 0.000), Gd at (0.000, 0.000, 0.500), Dy at (0.250, 0.250, 0.750) and Lu at (0.250, 0.250, 0.250).

The calculated formation energy comes out at 0.4 eV/f.u. For the size of the total moment, the calculation gives 30.60 Bohr magnetons per cell. For the density of states at the Fermi level, the calculation gives 1.603 states/eV/atom.


Entry 3:
Density functional theory data (PBE) for a geometry-optimized AcGdDyMg structure.

The structure belongs to space group F-43m (No. 216); the cell edges are 8.071, 8.071 and 8.071 Å and the angles 90.00°, 90.00° and 90.00°. The asymmetric unit holds Ac at (0.000, 0.000, 0.000), Gd at (0.250, 0.250, 0.750), Dy at (0.250, 0.250, 0.250) and Mg at (0.000, 0.000, 0.500).

The calculated formation energy comes out at 0.5 eV/f.u. For the size of the total moment, the calculation gives 32.15 Bohr magnetons per cell. For the density of states at the Fermi level, the calculation gives 1.522 states/eV/atom.


Entry 4:
Density functional theory data (PBE) for a geometry-optimized AcNdGdDy structure.

The structure belongs to space group F-43m (No. 216); the cell edges are 8.329, 8.329 and 8.329 Å and the angles 90.00°, 90.00° and 90.00°. The asymmetric unit holds Ac at (0.000, 0.000, 0.000), Nd at (0.250, 0.250, 0.750), Gd at (0.250, 0.250, 0.250) and Dy at (0.000, 0.000, 0.500).

The calculated formation energy comes out at 0.6 eV/f.u. For the size of the total moment, the calculation gives 35.39 Bohr magnetons per cell. For the density of states at the Fermi level, the calculation gives 2.060 states/eV/atom.


Entry 5:
Density functional theory data (PBE) for a geometry-optimized AcGdDyPb structure.

The structure belongs to space group F-43m (No. 216); the cell edges are 7.977, 7.977 and 7.977 Å and the angles 90.00°, 90.00° and 90.00°. The asymmetric unit holds Ac at (0.000, 0.000, 0.000), Gd at (0.250, 0.250, 0.250), Dy at (0.250, 0.250, 0.750) and Pb at (0.000, 0.000, 0.500).

The calculated formation energy comes out at -0.3 eV/f.u. For the size of the total moment, the calculation gives 31.82 Bohr magnetons per cell. For the density of states at the Fermi level, the calculation gives 1.244 states/eV/atom.


Entry 6:
Density functional theory data (PBE) for a geometry-optimized SrAcGdDy structure.

The structure belongs to space group F-43m (No. 216); the cell edges are 8.570, 8.570 and 8.570 Å and the angles 90.00°, 90.00° and 90.00°. The asymmetric unit holds Sr at (0.000, 0.000, 0.000), Ac at (0.250, 0.250, 0.750), Gd at (0.250, 0.250, 0.250) and Dy at (0.000, 0.000, 0.500).

The calculated formation energy comes out at 0.8 eV/f.u. For the size of the total moment, the calculation gives 31.40 Bohr magnetons per cell. For the density of states at the Fermi level, the calculation gives 1.894 states/eV/atom.


Entry 7:
Density functional theory data (PBE) for a geometry-optimized AcGdDyTl structure.

The structure belongs to space group F-43m (No. 216); the cell edges are 7.989, 7.989 and 7.989 Å and the angles 90.00°, 90.00° and 90.00°. The asymmetric unit holds Ac at (0.000, 0.000, 0.000), Gd at (0.250, 0.250, 0.750), Dy at (0.250, 0.250, 0.250) and Tl at (0.000, 0.000, 0.500).

The calculated formation energy comes out at 0.1 eV/f.u. For the size of the total moment, the calculation gives 34.39 Bohr magnetons per cell. For the density of states at the Fermi level, the calculation gives 1.273 states/eV/atom.


Entry 8:
Density functional theory data (PBE) for a geometry-optimized AcGdDyTm structure.

The structure belongs to space group F-43m (No. 216); the cell edges are 8.224, 8.224 and 8.224 Å and the angles 90.00°, 90.00° and 90.00°. The asymmetric unit holds Ac at (0.000, 0.000, 0.000), Gd at (0.000, 0.000, 0.500), Dy at (0.250, 0.250, 0.750) and Tm at (0.250, 0.250, 0.250).

The calculated formation energy comes out at 0.4 eV/f.u. For the size of the total moment, the calculation gives 30.91 Bohr magnetons per cell. For the density of states at the Fermi level, the calculation gives 1.687 states/eV/atom.


Entry 9:
Density functional theory data (PBE) for a geometry-optimized AcGdDyY structure.

The structure belongs to space group F-43m (No. 216); the cell edges are 8.270, 8.270 and 8.270 Å and the angles 90.00°, 90.00° and 90.00°. The asymmetric unit holds Ac at (0.000, 0.000, 0.000), Gd at (0.000, 0.000, 0.500), Dy at (0.250, 0.250, 0.250) and Y at (0.250, 0.250, 0.750).

The calculated formation energy comes out at 0.4 eV/f.u. For the size of the total moment, the calculation gives 31.27 Bohr magnetons per cell. For the density of states at the Fermi level, the calculation gives 1.788 states/eV/atom.


Entry 10:
Density functional theory data (PBE) for a geometry-optimized AcGdDyZn structure.

The structure belongs to space group F-43m (No. 216); the cell edges are 7.846, 7.846 and 7.846 Å and the angles 90.00°, 90.00° and 90.00°. The asymmetric unit holds Ac at (0.000, 0.000, 0.000), Gd at (0.250, 0.250, 0.750), Dy at (0.250, 0.250, 0.250) and Zn at (0.000, 0.000, 0.500).

The calculated formation energy comes out at 0.7 eV/f.u. For the size of the total moment, the calculation gives 32.44 Bohr magnetons per cell. For the density of states at the Fermi level, the calculation gives 1.259 states/eV/atom.


Entry 11:
Density functional theory data (PBE) for a geometry-optimized Ac2DyGe2 structure.

The structure belongs to space group P4/mbm (No. 127); the cell edges are 7.961, 7.961 and 4.744 Å and the angles 90.00°, 90.00° and 90.00°. The asymmetric unit holds Ac at (0.176, 0.324, 0.000), Dy at (0.000, 0.000, 0.500) and Ge at (0.121, 0.621, 0.500).

The calculated formation energy comes out at -3.4 eV/f.u. For the size of the total moment, the calculation gives 0.00 Bohr magnetons per cell. For the density of states at the Fermi level, the calculation gives 0.931 states/eV/atom.


Entry 12:
Density functional theory data (PBE) for a geometry-optimized Ac5DyGe4 structure.

The structure belongs to space group Immm (No. 71); the cell edges are 4.545, 8.301 and 19.106 Å and the angles 90.00°, 90.00° and 90.00°. The asymmetric unit holds Ac at (0.000, 0.000, 0.000), Ac at (0.000, 0.250, 0.338), Dy at (0.000, 0.500, 0.000), Ge at (0.000, 0.230, 0.500) and Ge at (0.000, 0.500, 0.195).

The calculated formation energy comes out at -5.1 eV/f.u. For the size of the total moment, the calculation gives 0.00 Bohr magnetons per cell. For the density of states at the Fermi level, the calculation gives 0.705 states/eV/atom.


Entry 13:
Density functional theory data (PBE) for a geometry-optimized AcDy2Ge structure.

The structure belongs to space group R-3m (No. 166, hexagonal axes); the cell edges are 4.0768, 4.0768 and 28.3439 Å and the angles 90.00°, 90.00° and 120.00°. The asymmetric unit holds Ac at (0.0000, 0.0000, 0.0000), Dy at (0.0000, 0.0000, 0.2228) and Ge at (0.0000, 0.0000, 0.5000).

The calculated formation energy comes out at -1.1 eV/f.u. For the size of the total moment, the calculation gives 0.00 Bohr magnetons per cell. For the density of states at the Fermi level, the calculation gives 1.188 states/eV/atom.